VASP calculation (PBE-GGA) on crystalline PmScRuAu at its relaxed geometry.

a = 4.893 Å, b = 4.893 Å, c = 4.893 Å
α = 60.00°, β = 60.00°, γ = 60.00°
Fractional coordinates of all 4 atoms:
Pm 0.000 0.000 0.000
Sc 0.500 0.500 0.500
Ru 0.250 0.250 0.250
Au 0.750 0.750 0.750

## Properties
Calculated formation energy in eV/atom: -0.490
Crystal system: cubic